Entry 1:
! Nd3Ga9Cu2 | Alexandria | GGA-PBE | optimized geometry; values from VASP
&SYSTEM
  ibrav = 0, nat = 14, ntyp = 3
/
ATOMIC_SPECIES
Nd 144.24 Nd.upf
Ga 69.72 Ga.upf
Cu 63.55 Cu.upf
CELL_PARAMETERS angstrom
-1.648 0.952 3.833
6.107 -1.568 5.404
3.145 7.450 1.890
ATOMIC_POSITIONS angstrom
Nd 1.842 2.531 4.941
Nd 0.000 0.000 0.000
Nd 5.762 4.303 6.186
Ga 6.261 6.722 8.188
Ga 1.343 0.112 2.939
Ga 7.030 4.381 9.100
Ga 2.547 4.329 2.408
Ga 3.879 0.274 3.988
Ga 5.058 2.505 8.719
Ga 3.726 6.560 7.138
Ga 4.626 2.941 3.647
Ga 0.574 2.453 2.026
Cu 4.467 1.394 6.352
Cu 3.138 5.441 4.775
! M_tot = 0.0 μB per formula unit
! Crystal system = orthorhombic
! SG = Immm (71)
! Energy of formation = -0.505 eV/atom

Entry 2:
! Mn2BiI | Alexandria | GGA-PBE | optimized geometry; values from VASP
&SYSTEM
  ibrav = 0, nat = 4, ntyp = 3
/
ATOMIC_SPECIES
Mn 54.94 Mn.upf
Bi 208.98 Bi.upf
I 126.90 I.upf
CELL_PARAMETERS angstrom
-3.153 -3.283 -1.985
-3.625 1.551 -3.019
0.207 -1.018 -4.856
ATOMIC_POSITIONS angstrom
Mn -1.643 -0.688 -2.465
Mn -4.928 -2.063 -7.395
Bi -3.285 -1.375 -4.930
I 0.000 0.000 0.000
! E above lowest polymorph = 0.2307 eV/atom
! M_tot = 6.5 μB per formula unit
! Crystal system = cubic
! SG = Fm-3m (225)

Number 1: V 269.7 Å³/cell. Number 2: V 86.6 Å³/cell.